Entry 1:
Compound: YEr2ThAs4
Source: the Alexandria database
Functional: GGA-PBE
Structure: optimized geometry

Structure (POSCAR):
```
YEr2ThAs4
1.0
7.158 0.000 0.000
0.000 4.147 0.000
-2.390 0.000 6.754
Y Er Th As
1 2 1 4
Direct
0.000 0.000 0.000
0.500 0.000 0.500
0.500 0.500 0.000
0.000 0.500 0.500
0.255 0.500 0.249
0.258 0.000 0.756
0.742 0.000 0.244
0.745 0.500 0.751
```

Output
SG = P2/m

Entry 2:
Compound: Ta2ZnOs
Source: the Alexandria database
Functional: GGA-PBE
Structure: optimized geometry

Structure (POSCAR):
```
Ta2ZnOs
1.0
-3.704 3.704 2.695
3.704 -3.704 2.695
3.704 3.704 -2.695
Ta Zn Os
4 2 2
Direct
0.085 0.625 0.960
0.375 0.335 0.460
0.665 0.125 0.040
0.875 0.915 0.540
0.250 0.750 0.500
0.500 0.500 0.000
0.000 0.000 0.000
0.750 0.250 0.500
```

Output
SG = I-42d

Entry 3:
Compound: EuCdH
Source: the Alexandria database
Functional: GGA-PBE
Structure: optimized geometry

Structure (POSCAR):
```
EuCdH
1.0
6.374 -1.936 0.000
6.374 1.936 0.000
-2.117 0.000 5.159
Eu Cd H
2 2 2
Direct
0.111 0.111 0.335
0.889 0.889 0.665
0.354 0.354 0.132
0.646 0.646 0.868
0.306 0.306 0.450
0.694 0.694 0.550
```

Output
SG = C2/m

Entry 4:
Compound: CeEr2Hg4
Source: the Alexandria database
Functional: GGA-PBE
Structure: optimized geometry

Structure (POSCAR):
```
CeEr2Hg4
1.0
5.219 0.000 0.000
0.000 5.219 0.000
0.000 0.000 7.205
Ce Er Hg
1 2 4
Direct
0.000 0.000 0.000
0.000 0.000 0.500
0.500 0.500 0.000
0.000 0.500 0.269
0.000 0.500 0.731
0.500 0.000 0.269
0.500 0.000 0.731
```

Output
SG = P4/mmm

Entry 5:
Compound: SrTl2CI
Source: the Alexandria database
Functional: GGA-PBE
Structure: optimized geometry

Structure (POSCAR):
```
SrTl2CI
1.0
6.349 0.000 0.000
0.000 6.349 0.000
0.000 0.000 6.241
Sr Tl C I
1 2 1 1
Direct
0.000 0.000 0.000
0.000 0.500 0.500
0.500 0.000 0.500
0.500 0.500 0.000
0.000 0.000 0.500
```

Output
Formation energy from raw total energies = 1.32 eV/atom
SG = P4/mmm

Entry 6:
Compound: SiSbAu
Source: the Alexandria database
Functional: GGA-PBE
Structure: optimized geometry

Structure (POSCAR):
```
SiSbAu
1.0
3.863 0.000 0.000
-1.931 3.345 0.000
0.000 0.000 4.901
Si Sb Au
1 1 1
Direct
0.000 0.000 0.000
0.333 0.667 0.656
0.667 0.333 0.271
```

Output
Formation energy from raw total energies = 0.12 eV/atom
SG = P3m1

Entry 7:
Compound: BaAl2Pt
Source: the Alexandria database
Functional: GGA-PBE
Structure: optimized geometry

Structure (POSCAR):
```
BaAl2Pt
1.0
2.954 -5.208 0.000
2.954 5.208 0.000
0.000 0.000 3.031
Ba Al Pt
1 2 1
Direct
0.000 0.000 0.000
0.000 0.500 0.500
0.500 0.000 0.500
0.500 0.500 0.000
```

Output
SG = Cmmm

Entry 8:
Compound: Na2CdSeO
Source: the Alexandria database
Functional: GGA-PBE
Structure: optimized geometry

Structure (POSCAR):
```
Na2CdSeO
1.0
4.556 0.000 0.000
0.000 4.556 0.000
0.000 0.000 4.441
Na Cd Se O
2 1 1 1
Direct
0.000 0.500 0.000
0.500 0.000 0.000
0.000 0.000 0.500
0.500 0.500 0.500
0.000 0.000 0.000
```

Output
Formation energy from raw total energies = -1.03 eV/atom
SG = P4/mmm

Entry 9:
Compound: MgSe5
Source: the Alexandria database
Functional: GGA-PBE
Structure: optimized geometry

Structure (POSCAR):
```
MgSe5
1.0
3.495 0.000 0.000
0.000 3.495 0.000
0.000 0.000 10.756
Mg Se
1 5
Direct
0.000 0.000 0.000
0.000 0.000 0.351
0.000 0.000 0.649
0.500 0.500 0.121
0.500 0.500 0.500
0.500 0.500 0.879
```

Output
Formation energy from raw total energies = 0.12 eV/atom
SG = P4/mmm

Entry 10:
Compound: Nb4Te
Source: the Alexandria database
Functional: GGA-PBE
Structure: optimized geometry

Structure (POSCAR):
```
Nb4Te
1.0
4.952 0.000 0.000
0.000 4.952 0.000
0.000 0.000 4.952
Nb Te
4 1
Direct
0.000 0.000 0.000
0.000 0.500 0.500
0.500 0.000 0.500
0.500 0.500 0.000
0.500 0.500 0.500
```

Output
Formation energy from raw total energies = 1.49 eV/atom
SG = Pm-3m

Entry 11:
Compound: Pu2SbPd
Source: the Alexandria database
Functional: GGA-PBE
Structure: optimized geometry

Structure (POSCAR):
```
Pu2SbPd
1.0
4.158 -3.771 0.000
4.158 3.771 0.000
0.000 0.000 5.918
Pu Sb Pd
4 2 2
Direct
0.210 0.210 0.000
0.210 0.210 0.500
0.790 0.790 0.000
0.790 0.790 0.500
0.301 0.699 0.750
0.699 0.301 0.250
0.299 0.701 0.250
0.701 0.299 0.750
```

Output
Formation energy from raw total energies = -0.54 eV/atom
SG = Cmcm

no.,DFT total energy (eV per atom)
1,-6.711
2,-8.546
3,-5.191
4,-2.584
5,-2.122
6,-4.156
7,-3.670
8,-3.426
9,-3.045
10,-7.194
11,-10.030